No. 1
Entry from Alexandria via LeMat-Bulk: crystalline Ti3Pd2Au at its relaxed geometry (PBE-GGA).

a = 13.0494 Å, b = 13.0494 Å, c = 5.3178 Å
α = 90.00°, β = 90.00°, γ = 167.28°
Closest atoms and distances in Å follow each position.
Fractional coordinates of all 12 atoms:
Ti: 0.0759 0.9241 0.5008  4 Ti 2.65-2.89, 6 Pd 2.72-2.81, 1 Au 2.88
Ti: 0.0759 0.9241 0.9992  4 Ti 2.65-2.89, 6 Pd 2.72-2.81, 1 Au 2.88
Ti: 0.2359 0.7641 0.7500  2 Pd 2.69, 2 Au 2.74, 2 Ti 2.89
Ti: 0.7641 0.2359 0.2500  2 Pd 2.69, 2 Au 2.74, 2 Ti 2.89
Ti: 0.9241 0.0759 0.0008  4 Ti 2.65-2.89, 6 Pd 2.72-2.81, 1 Au 2.88
Ti: 0.9241 0.0759 0.4992  4 Ti 2.65-2.89, 6 Pd 2.72-2.81, 1 Au 2.88
Pd: 0.3516 0.6484 0.2500  6 Ti 2.69-2.72, 2 Pd 2.89
Pd: 0.4983 0.5017 0.7500  4 Pd 2.66-2.89, 8 Ti 2.75-2.81
Pd: 0.5017 0.4983 0.2500  4 Pd 2.66-2.89, 8 Ti 2.75-2.81
Pd: 0.6484 0.3516 0.7500  6 Ti 2.69-2.72, 2 Pd 2.89
Au: 0.1741 0.8259 0.2500  4 Ti 2.74-2.88, 2 Au 2.89
Au: 0.8259 0.1741 0.7500  4 Ti 2.74-2.88, 2 Au 2.89

Calculated values
calculated volume: 199.3 Å³ per cell
VASP energy: -6.512 eV per atom


No. 2
Entry from Alexandria via LeMat-Bulk: crystalline Ho4HgPbN at its relaxed geometry (PBE-GGA).

a = 8.5213 Å, b = 8.5213 Å, c = 6.6491 Å
α = 90.00°, β = 90.00°, γ = 134.04°
Closest atoms and distances in Å follow each position.
Fractional coordinates of all 14 atoms:
Ho: 0.0000 0.5000 0.0000  2 N 2.35
Ho: 0.0000 0.5000 0.5000  2 N 2.35
Ho: 0.0805 0.9195 0.7500  1 N 2.70
Ho: 0.4093 0.5907 0.7500  1 N 2.46
Ho: 0.5000 0.0000 0.0000  2 N 2.35
Ho: 0.5000 0.0000 0.5000  2 N 2.35
Ho: 0.5907 0.4093 0.2500  1 N 2.46
Ho: 0.9195 0.0805 0.2500  1 N 2.70
Hg: 0.1147 0.8853 0.2500  9 Ho 3.06-3.37
Hg: 0.8853 0.1147 0.7500  9 Ho 3.06-3.37
Pb: 0.3923 0.6077 0.2500  9 Ho 3.11-3.35
Pb: 0.6077 0.3923 0.7500  9 Ho 3.11-3.35
N: 0.2525 0.7475 0.7500  5 Ho 2.35-2.46
N: 0.7475 0.2525 0.2500  5 Ho 2.35-2.46

Calculated values
calculated volume: 347.1 Å³ per cell
VASP energy: -5.171 eV per atom


No. 3
Entry from Alexandria via LeMat-Bulk: crystalline Dy2B3Ru2 at its relaxed geometry (PBE-GGA).

a = 5.6619 Å, b = 5.6619 Å, c = 5.8523 Å
α = 119.39°, β = 119.39°, γ = 37.98°
Closest atoms and distances in Å follow each position.
Fractional coordinates of all 7 atoms:
Dy: 0.1236 0.1236 0.2748  6 B 2.79-2.95, 5 Ru 2.84-3.10, 1 Dy 2.92
Dy: 0.8764 0.8764 0.7252  6 B 2.79-2.95, 5 Ru 2.84-3.10, 1 Dy 2.92
B: 0.3996 0.3996 0.1331  1 B 1.84
B: 0.5000 0.5000 0.5000  2 B 1.84
B: 0.6004 0.6004 0.8669  1 B 1.84
Ru: 0.1663 0.1663 0.7960  3 B 2.09-2.24
Ru: 0.8337 0.8337 0.2040  3 B 2.09-2.24

Calculated values
calculated volume: 98.7 Å³ per cell
VASP energy: -7.112 eV per atom